Entry from Alexandria via LeMat-Bulk: CsGeBr3 after structural relaxation (PBEsol).

Lattice parameters (Å, degrees): 5.464 5.464 5.464 90.00 90.00 90.00
Positions (direct):
Br1 0.000 0.500 0.000
Br2 0.500 0.000 0.000
Br3 0.000 0.000 0.500
Cs1 0.500 0.500 0.500
Ge1 0.000 0.000 0.000

Results
The value obtained for the calculated volume is 32.62 A^3/atom. The value obtained for the magnetization is 0.00 μB per cell. The calculation puts the uncorrected formation energy at -1.108 eV/atom. The raw total energy is -3.41 eV/atom.